VASP calculation (PBE) on a relaxed structure of Na2AsPt.

Geometry as extended XYZ:
```
4
Lattice="-1.9552 -2.3680 3.1425 4.1246 -2.0224 1.0423 -1.1387 4.5741 2.7369" Properties=species:S:1:pos:R:3 pbc="T T T"
Na 1.7452 -0.2897 3.1760
Pt -1.0958 0.2953 4.9089
Na -1.6694 -1.9064 2.9072
As 0.0415 2.0954 3.9014
```

Values from the calculation:
* DFT formation energy: -0.406 eV/atom